# 1
Zr2In2Cu after structural relaxation, computed with PBE.

Cell and atoms, written as POSCAR:
```
Zr2In2Cu
1.0
6.8288 0.0000 0.0000
0.0000 6.8288 0.0000
0.0000 0.0000 4.5730
Zr In Cu
4 4 2
Cartesian
1.1172 2.2972 0.0000
2.2972 5.7117 0.0000
4.5316 1.1172 0.0000
5.7117 4.5316 0.0000
0.9988 4.4132 2.2865
2.4157 0.9988 2.2865
4.4132 5.8301 2.2865
5.8301 2.4157 2.2865
0.0000 0.0000 2.2865
3.4144 3.4144 2.2865
```

Calculated values
The total magnetization comes out at 0.00 μB per formula unit. Its mass density is 7.41 g/cm³. For the energy above the most stable polymorph in this dataset, the calculation gives 0 meV/atom. As for the symmetry: P4/mbm (127). The value obtained for the total energy is -5.423 eV/atom.

# 2
ZrIn3Cu8 after structural relaxation, computed with PBE.

Cell and atoms, written as POSCAR:
```
ZrIn3Cu8
1.0
2.5154 1.4523 8.3033
-2.5154 1.4523 8.3033
0.0000 -2.9046 8.3033
Zr In Cu
1 3 8
Cartesian
0.0000 0.0000 0.0000
0.0000 0.0000 3.0865
0.0000 0.0000 12.4953
0.0000 0.0000 15.5869
0.0000 -1.4552 5.7217
-1.2579 -0.7262 9.8633
-1.2603 0.7276 5.7217
0.0000 0.0000 7.7984
1.2579 -0.7262 9.8633
0.0000 1.4524 9.8633
1.2603 0.7276 5.7217
0.0000 0.0000 20.2458
```

Calculated values
The total magnetization comes out at 0.00 μB per formula unit. Its mass density is 8.61 g/cm³. For the energy above the most stable polymorph in this dataset, the calculation gives 0 meV/atom. As for the symmetry: R3m (160). The value obtained for the total energy is -4.216 eV/atom.

Question: Which value of mass density does entry 2 give?
Answer: 8.61 g/cm³